[1]
ScBrNO2, optimized geometry, DFT PBEsol; Fermi-level density of states = 2.14 states/eV/f.u.; symmetry = P4/mmm (123); raw total energy = -26.83 eV per cell; crystal system = tetragonal; formation energy (no corrections) = 0.135 eV/atom; total magnetization = 0.00 μB/cell
1.0
3.9736 0.0000 0.0000
0.0000 3.9736 0.0000
0.0000 0.0000 3.9043
Sc Br N O
1 1 1 2
Direct
0.0000 0.0000 0.0000
0.5000 0.5000 0.5000
0.5000 0.5000 0.0000
0.0000 0.5000 0.5000
0.5000 0.0000 0.5000


[2]
WBrN2O, optimized geometry, DFT PBEsol; Fermi-level density of states = 3.15 states/eV/f.u.; symmetry = P4/mmm (123); raw total energy = -37.05 eV per cell; crystal system = tetragonal; formation energy (no corrections) = 0.186 eV/atom; total magnetization = 0.00 μB/cell
1.0
4.0493 0.0000 0.0000
0.0000 4.0493 0.0000
0.0000 0.0000 3.8097
W Br N O
1 1 2 1
Direct
0.0000 0.0000 0.0000
0.5000 0.5000 0.5000
0.0000 0.5000 0.0000
0.5000 0.0000 0.0000
0.0000 0.0000 0.5000


[3]
ZrBrN2O, optimized geometry, DFT PBEsol; Fermi-level density of states = 2.21 states/eV/f.u.; symmetry = P4/mmm (123); raw total energy = -29.15 eV per cell; crystal system = tetragonal; formation energy (no corrections) = 0.822 eV/atom; total magnetization = 0.00 μB/cell
1.0
3.8676 0.0000 0.0000
0.0000 3.8676 0.0000
0.0000 0.0000 3.9305
Zr Br N O
1 1 2 1
Direct
0.0000 0.0000 0.0000
0.5000 0.5000 0.5000
0.0000 0.5000 0.5000
0.5000 0.0000 0.5000
0.5000 0.5000 0.0000


[4]
Os3BrN, optimized geometry, DFT PBEsol; Fermi-level density of states = 5.15 states/eV/f.u.; symmetry = Pm-3m (221); raw total energy = -39.72 eV per cell; crystal system = cubic; formation energy (no corrections) = 1.466 eV/atom; total magnetization = 0.00 μB/cell
1.0
4.0956 0.0000 0.0000
0.0000 4.0956 0.0000
0.0000 0.0000 4.0956
Os Br N
3 1 1
Direct
0.0000 0.0000 0.5000
0.0000 0.5000 0.0000
0.5000 0.0000 0.0000
0.5000 0.5000 0.5000
0.0000 0.0000 0.0000


[5]
TeOsBrN2, optimized geometry, DFT PBEsol; Fermi-level density of states = 1.63 states/eV/f.u.; symmetry = P4/mmm (123); raw total energy = -31.56 eV per cell; crystal system = tetragonal; formation energy (no corrections) = 0.620 eV/atom; total magnetization = 0.00 μB/cell
1.0
3.8675 0.0000 0.0000
0.0000 3.8675 0.0000
0.0000 0.0000 5.6805
Te Os Br N
1 1 1 2
Direct
0.0000 0.0000 0.0000
0.0000 0.0000 0.5000
0.5000 0.5000 0.0000
0.0000 0.5000 0.5000
0.5000 0.0000 0.5000


[6]
Te2OsBrN, optimized geometry, DFT PBEsol; Fermi-level density of states = 3.47 states/eV/f.u.; symmetry = P4/mmm (123); raw total energy = -27.88 eV per cell; crystal system = tetragonal; formation energy (no corrections) = 0.357 eV/atom; total magnetization = 0.00 μB/cell
1.0
5.4816 0.0000 0.0000
0.0000 5.4816 0.0000
0.0000 0.0000 3.6434
Te Os Br N
2 1 1 1
Direct
0.0000 0.5000 0.0000
0.5000 0.0000 0.0000
0.0000 0.0000 0.0000
0.5000 0.5000 0.5000
0.0000 0.0000 0.5000


[7]
ZnOsBr2N, optimized geometry, DFT PBEsol; Fermi-level density of states = 4.02 states/eV/f.u.; symmetry = P4/mmm (123); raw total energy = -18.10 eV per cell; crystal system = tetragonal; formation energy (no corrections) = 1.593 eV/atom; total magnetization = 5.13 μB/cell
1.0
5.2371 0.0000 0.0000
0.0000 5.2371 0.0000
0.0000 0.0000 3.5677
Zn Os Br N
1 1 2 1
Direct
0.0000 0.0000 0.0000
0.5000 0.5000 0.5000
0.0000 0.5000 0.0000
0.5000 0.0000 0.0000
0.0000 0.0000 0.5000


[8]
PBr3N, optimized geometry, DFT PBEsol; Fermi-level density of states = 0.23 states/eV/f.u.; symmetry = Pm-3m (221); raw total energy = -15.09 eV per cell; crystal system = cubic; formation energy (no corrections) = 0.967 eV/atom; total magnetization = 3.00 μB/cell
1.0
5.0090 0.0000 0.0000
0.0000 5.0090 0.0000
0.0000 0.0000 5.0090
P Br N
1 3 1
Direct
0.0000 0.0000 0.0000
0.0000 0.0000 0.5000
0.0000 0.5000 0.0000
0.5000 0.0000 0.0000
0.5000 0.5000 0.5000